*A*
# PBE-GGA Eu2InGe, relaxed
data_Eu2InGe
_symmetry_space_group_name_H-M 'P 1'
_symmetry_Int_Tables_number 1
_symmetry_space_group_name_Hall 'P 1'
_cell_length_a 5.4302
_cell_length_b 5.4302
_cell_length_c 5.4302
_cell_angle_alpha 60.00
_cell_angle_beta 60.00
_cell_angle_gamma 60.00
loop_
_atom_site_label
_atom_site_fract_x
_atom_site_fract_y
_atom_site_fract_z
_atom_site_occupancy
Ge1 0.5000 0.5000 0.5000 1
Eu1 0.2500 0.2500 0.2500 1
Eu2 0.7500 0.7500 0.7500 1
In1 0.0000 0.0000 0.0000 1
# space group	Fm-3m (225)

*B*
# PBE-GGA Eu2InGe, relaxed
data_Eu2InGe
_symmetry_space_group_name_H-M 'P 1'
_symmetry_Int_Tables_number 1
_symmetry_space_group_name_Hall 'P 1'
_cell_length_a 3.7237
_cell_length_b 3.7237
_cell_length_c 11.2763
_cell_angle_alpha 80.50
_cell_angle_beta 80.50
_cell_angle_gamma 60.00
loop_
_atom_site_label
_atom_site_fract_x
_atom_site_fract_y
_atom_site_fract_z
_atom_site_occupancy
In1 0.0000 0.0000 0.0000 1
Eu1 0.1015 0.1015 0.6954 1
Eu2 0.8985 0.8985 0.3046 1
Ge1 0.5000 0.5000 0.5000 1
# space group	R-3m (166)

Which one is the most stable? From the structures above, *A*.